Here is an optimized crystal structure of Ti3Ni4 from Alexandria via LeMat-Bulk. Energies are from PBE.

The calculation puts the calculated volume at 92.3 Å³/f.u. The value obtained for the formation energy is -0.412 eV/atom.

The structure belongs to space group R-3 (No. 148, hexagonal axes); the cell edges are 11.2589, 11.2589 and 5.0433 Å and the angles 90.00°, 90.00° and 120.00°. The inequivalent atoms are Ti at (0.0432, 0.2199, 0.2167), Ni at (0.0000, 0.0000, 0.0000), Ni at (0.0000, 0.0000, 0.5000) and Ni at (0.0530, 0.2652, 0.7056).

---

Here is an optimized crystal structure of Ti3Ni from Alexandria via LeMat-Bulk. Energies are from PBE.

The calculation puts the calculated volume at 61.1 Å³/f.u. The value obtained for the formation energy is -0.082 eV/atom.

The structure belongs to space group P6_3/mmc (No. 194); the cell edges are 5.4938, 5.4938 and 4.6768 Å and the angles 90.00°, 90.00° and 120.00°. The inequivalent atoms are Ti at (0.1730, 0.3460, 0.2500) and Ni at (0.3333, 0.6667, 0.7500).

---

Here is an optimized crystal structure of Ti3TlNi from Alexandria via LeMat-Bulk. Energies are from PBE.

The calculation puts the calculated volume at 131.2 Å³/f.u. The value obtained for the relative energy among the computed polymorphs is 137.8 kJ/mol of atoms. The value obtained for the formation energy is 1.622 eV/atom.

The structure belongs to space group Pm-3m (No. 221); the cell edges are 5.082, 5.082 and 5.082 Å and the angles 90.00°, 90.00° and 90.00°. The inequivalent atoms are Ti at (0.000, 0.000, 0.500), Tl at (0.000, 0.000, 0.000) and Ni at (0.500, 0.500, 0.500).

---

Here is an optimized crystal structure of Ti6TlNi from Alexandria via LeMat-Bulk. Energies are from PBE.

The calculation puts the calculated volume at 143.4 Å³/f.u. The value obtained for the formation energy is 0.194 eV/atom.

The structure belongs to space group R-3m (No. 166, hexagonal axes); the cell edges are 9.0710, 9.0710 and 6.0361 Å and the angles 90.00°, 90.00° and 120.00°. The inequivalent atoms are Ti at (0.0369, 0.5185, 0.2881), Tl at (0.0000, 0.0000, 0.0000) and Ni at (0.0000, 0.0000, 0.5000).

---

Here is an optimized crystal structure of TiTlNi2 from Alexandria via LeMat-Bulk. Energies are from PBE.

The calculation puts the calculated volume at 66.4 Å³/f.u. The value obtained for the formation energy is 0.291 eV/atom.

The structure belongs to space group I-42d (No. 122); the cell edges are 6.915, 6.915 and 5.555 Å and the angles 90.00°, 90.00° and 90.00°. The inequivalent atoms are Ti at (0.000, 0.000, 0.000), Tl at (0.000, 0.000, 0.500) and Ni at (0.215, 0.250, 0.125).

---

Here is an optimized crystal structure of TiTlNi from Alexandria via LeMat-Bulk. Energies are from PBE.

The calculation puts the calculated volume at 55.0 Å³/f.u. The value obtained for the formation energy is -0.029 eV/atom.

The structure belongs to space group P4/nmm (No. 129, origin choice 2); the cell edges are 4.092, 4.092 and 6.568 Å and the angles 90.00°, 90.00° and 90.00°. The inequivalent atoms are Ti at (0.250, 0.750, 0.000), Tl at (0.250, 0.250, 0.366) and Ni at (0.250, 0.250, 0.786).

---

Here is an optimized crystal structure of Ti2TlNi2 from Alexandria via LeMat-Bulk. Energies are from PBE.

The calculation puts the calculated volume at 84.9 Å³/f.u. The value obtained for the formation energy is 0.026 eV/atom.

The structure belongs to space group I4/mmm (No. 139); the cell edges are 3.301, 3.301 and 15.588 Å and the angles 90.00°, 90.00° and 90.00°. The inequivalent atoms are Ti at (0.000, 0.000, 0.130), Tl at (0.000, 0.000, 0.500) and Ni at (0.000, 0.500, 0.250).

---

Here is an optimized crystal structure of Ti6Tl2Ni from Alexandria via LeMat-Bulk. Energies are from PBE.

The calculation puts the calculated volume at 163.2 Å³/f.u. The value obtained for the formation energy is -0.036 eV/atom.

The structure belongs to space group Amm2 (No. 38); the cell edges are 3.234, 13.230 and 7.627 Å and the angles 90.00°, 90.00° and 90.00°. The inequivalent atoms are Ti at (0.000, 0.000, 0.000), Ti at (0.000, 0.120, 0.638), Ti at (0.500, 0.000, 0.386), Ti at (0.500, 0.185, 0.944), Tl at (0.000, 0.167, 0.258) and Ni at (0.500, 0.000, 0.758).

---

Here is an optimized crystal structure of Ti2TlNi from Alexandria via LeMat-Bulk. Energies are from PBE.

The calculation puts the calculated volume at 72.5 Å³/f.u. The value obtained for the relative energy among the computed polymorphs is 27.6 kJ/mol of atoms. The value obtained for the formation energy is 0.212 eV/atom.

The structure belongs to space group I-42d (No. 122); the cell edges are 7.180, 7.180 and 5.622 Å and the angles 90.00°, 90.00° and 90.00°. The inequivalent atoms are Ti at (0.196, 0.250, 0.125), Tl at (0.000, 0.000, 0.500) and Ni at (0.000, 0.000, 0.000).

---

Here is an optimized crystal structure of Ti2TlNi2 from Alexandria via LeMat-Bulk. Energies are from PBE.

The calculation puts the calculated volume at 83.8 Å³/f.u. The value obtained for the formation energy is -0.057 eV/atom.

The structure belongs to space group I4/mmm (No. 139); the cell edges are 4.146, 4.146 and 9.751 Å and the angles 90.00°, 90.00° and 90.00°. The inequivalent atoms are Ti at (0.000, 0.500, 0.250), Tl at (0.000, 0.000, 0.000) and Ni at (0.000, 0.000, 0.383).

---

Here is an optimized crystal structure of Ti2TlNi from Alexandria via LeMat-Bulk. Energies are from PBE.

The calculation puts the calculated volume at 68.1 Å³/f.u. The value obtained for the relative energy among the computed polymorphs is 13.9 kJ/mol of atoms. The value obtained for the formation energy is 0.070 eV/atom.

The structure belongs to space group Fm-3m (No. 225); the cell edges are 6.481, 6.481 and 6.481 Å and the angles 90.00°, 90.00° and 90.00°. The inequivalent atoms are Ti at (0.250, 0.250, 0.250), Tl at (0.000, 0.000, 0.000) and Ni at (0.000, 0.000, 0.500).

---

Here is an optimized crystal structure of Ti2TlNi from Alexandria via LeMat-Bulk. Energies are from PBE.

The calculation puts the calculated volume at 67.7 Å³/f.u. The value obtained for the relative energy among the computed polymorphs is 0.0 kJ/mol of atoms. The value obtained for the formation energy is -0.074 eV/atom.

The structure belongs to space group P4/mmm (No. 123); the cell edges are 2.948, 2.948 and 7.787 Å and the angles 90.00°, 90.00° and 90.00°. The inequivalent atoms are Ti at (0.000, 0.000, 0.204), Tl at (0.500, 0.500, 0.500) and Ni at (0.500, 0.500, 0.000).

---

Here is an optimized crystal structure of Ti3TlNi from Alexandria via LeMat-Bulk. Energies are from PBE.

The calculation puts the calculated volume at 96.1 Å³/f.u. The value obtained for the relative energy among the computed polymorphs is 0.0 kJ/mol of atoms. The value obtained for the formation energy is 0.194 eV/atom.

The structure belongs to space group Pm-3m (No. 221); the cell edges are 4.580, 4.580 and 4.580 Å and the angles 90.00°, 90.00° and 90.00°. The inequivalent atoms are Ti at (0.000, 0.000, 0.500), Tl at (0.500, 0.500, 0.500) and Ni at (0.000, 0.000, 0.000).

---

Here is an optimized crystal structure of Zr2TiTlNi from Alexandria via LeMat-Bulk. Energies are from PBE.

The calculation puts the calculated volume at 133.0 Å³/f.u. The value obtained for the formation energy is 1.279 eV/atom.

The structure belongs to space group P4/mmm (No. 123); the cell edges are 5.358, 5.358 and 4.634 Å and the angles 90.00°, 90.00° and 90.00°. The inequivalent atoms are Zr at (0.000, 0.500, 0.000), Ti at (0.000, 0.000, 0.500), Tl at (0.500, 0.500, 0.000) and Ni at (0.500, 0.500, 0.500).

---

Here is an optimized crystal structure of Tm2TiNi from Alexandria via LeMat-Bulk. Energies are from PBE.

The calculation puts the calculated volume at 82.9 Å³/f.u. The value obtained for the relative energy among the computed polymorphs is 0.0 kJ/mol of atoms. The value obtained for the formation energy is -0.099 eV/atom.

The structure belongs to space group P4/mmm (No. 123); the cell edges are 3.350, 3.350 and 7.387 Å and the angles 90.00°, 90.00° and 90.00°. The inequivalent atoms are Tm at (0.000, 0.000, 0.220), Ti at (0.500, 0.500, 0.500) and Ni at (0.500, 0.500, 0.000).

---

Here is an optimized crystal structure of TmTi2Ni3 from Alexandria via LeMat-Bulk. Energies are from PBE.

The calculation puts the calculated volume at 96.8 Å³/f.u. The value obtained for the formation energy is -0.292 eV/atom.

The structure belongs to space group Cmcm (No. 63); the cell edges are 9.733, 7.277 and 5.467 Å and the angles 90.00°, 90.00° and 90.00°. The inequivalent atoms are Tm at (0.000, 0.168, 0.250), Ti at (0.211, 0.500, 0.000), Ni at (0.000, 0.455, 0.750) and Ni at (0.140, 0.190, 0.750).

---

Here is an optimized crystal structure of TmTiNi2 from Alexandria via LeMat-Bulk. Energies are from PBE.

The calculation puts the calculated volume at 63.9 Å³/f.u. The value obtained for the relative energy among the computed polymorphs is 0.1 kJ/mol of atoms. The value obtained for the formation energy is -0.391 eV/atom.

The structure belongs to space group P4/mmm (No. 123); the cell edges are 3.121, 3.121 and 6.560 Å and the angles 90.00°, 90.00° and 90.00°. The inequivalent atoms are Tm at (0.000, 0.000, 0.000), Ti at (0.000, 0.000, 0.500) and Ni at (0.500, 0.500, 0.298).

---

Here is an optimized crystal structure of TmTiNi2 from Alexandria via LeMat-Bulk. Energies are from PBE.

The calculation puts the calculated volume at 63.8 Å³/f.u. The value obtained for the relative energy among the computed polymorphs is 8.6 kJ/mol of atoms. The value obtained for the formation energy is -0.304 eV/atom.

The structure belongs to space group Fm-3m (No. 225); the cell edges are 6.344, 6.344 and 6.344 Å and the angles 90.00°, 90.00° and 90.00°. The inequivalent atoms are Tm at (0.000, 0.000, 0.000), Ti at (0.000, 0.000, 0.500) and Ni at (0.250, 0.250, 0.250).

---

Here is an optimized crystal structure of TmTiNi2 from Alexandria via LeMat-Bulk. Energies are from PBE.

The calculation puts the calculated volume at 68.2 Å³/f.u. The value obtained for the relative energy among the computed polymorphs is 0.0 kJ/mol of atoms. The value obtained for the formation energy is -0.392 eV/atom.

The structure belongs to space group R-3m (No. 166, hexagonal axes); the cell edges are 4.1892, 4.1892 and 13.4596 Å and the angles 90.00°, 90.00° and 120.00°. The inequivalent atoms are Tm at (0.0000, 0.0000, 0.0000), Ti at (0.0000, 0.0000, 0.5000) and Ni at (0.0000, 0.0000, 0.2075).

---

Here is an optimized crystal structure of TmTi2Ni9 from Alexandria via LeMat-Bulk. Energies are from PBE.

The calculation puts the calculated volume at 154.7 Å³/f.u. The value obtained for the formation energy is -0.372 eV/atom.

The structure belongs to space group R-3m (No. 166, hexagonal axes); the cell edges are 4.7864, 4.7864 and 23.3893 Å and the angles 90.00°, 90.00° and 120.00°. The inequivalent atoms are Tm at (0.0000, 0.0000, 0.0000), Ti at (0.0000, 0.0000, 0.1417), Ni at (0.0000, 0.0000, 0.3339), Ni at (0.0000, 0.0000, 0.5000) and Ni at (0.0054, 0.5027, 0.9132).